DFT (PBE) results for a relaxed structure of Ho8Ge3AsS4.

Summary:
Final energy ... -96.29 eV for the cell shown
Formation energy (no corrections) ... -1541 meV/atom
Size of the total moment ... 0.0 μB per formula unit

Unit cell a=8.064 b=8.033 c=8.064 alpha=120.13 beta=120.00 gamma=90.00
Fractional positions:
Ho (0.253, 0.252, 0.003)
Ho (0.250, 0.748, 0.501)
Ho (0.750, 0.252, 0.003)
Ho (0.250, 0.251, 0.501)
Ho (0.747, 0.748, 0.997)
Ho (0.250, 0.748, 0.997)
Ho (0.750, 0.749, 0.499)
Ho (0.750, 0.252, 0.499)
Ge (0.000, 0.500, 0.500)
Ge (0.500, 0.500, 0.000)
Ge (0.500, 0.500, 0.500)
As (0.000, 0.500, 0.000)
S (0.500, 0.000, 0.000)
S (0.500, 0.000, 0.500)
S (0.000, 0.000, 0.000)
S (0.000, 0.000, 0.500)